# CaTa2Ir

A relaxed structure of CaTa2Ir (PBE, Alexandria).

Cell and atoms, written as POSCAR:
```
CaTa2Ir
1.0
5.722 -0.005 -0.001
2.668 5.061 0.001
-3.509 -3.667 2.642
Ca Ta Ir
1 2 1
Direct
0.485 0.485 0.000
0.768 0.268 0.500
0.015 0.015 0.000
0.231 0.731 0.500
```

Output
Calculated total energy in eV/atom: -8.403
Crystal system: orthorhombic
M_tot in μB per cell: 0.00
Excess energy over the best structure of this formula in the dataset in eV per formula unit: 1.062